No. 1
Here is an optimized crystal structure of DyBi2Pb from Alexandria via LeMat-Bulk. Energies are from PBE.

## Properties
The density of states at the Fermi level is 3.084 states/eV/cell. As for the volume: 121.9 Å³ per cell. The energy above the most stable polymorph in this dataset is 0.00 kJ/mol of atoms. As for the energy of formation from the pure elements: -351.0 meV/atom.

POSCAR file:
```
DyBi2Pb
1.0
4.235 0.000 0.000
0.000 4.235 0.000
0.000 0.000 6.795
Dy Bi Pb
1 2 1
Cartesian
0.000 0.000 0.000 Dy
2.118 2.118 1.587 Bi
2.118 2.118 5.208 Bi
0.000 0.000 3.398 Pb
```

=====

No. 2
Here is an optimized crystal structure of Np3TlPd12 from Alexandria via LeMat-Bulk. Energies are from PBE.

## Properties
The density of states at the Fermi level is 38.393 states/eV/cell. As for the volume: 283.3 Å³ per cell. As for the energy of formation from the pure elements: -391.4 meV/atom.

POSCAR file:
```
Np3TlPd12
1.0
4.135 0.000 0.000
0.000 4.135 0.000
0.000 0.000 16.569
Np Tl Pd
3 1 12
Cartesian
0.000 0.000 0.000 Np
0.000 0.000 4.206 Np
0.000 0.000 12.363 Np
0.000 0.000 8.285 Tl
0.000 2.068 2.092 Pd
0.000 2.068 6.198 Pd
0.000 2.068 10.371 Pd
0.000 2.068 14.477 Pd
2.068 0.000 2.092 Pd
2.068 0.000 6.198 Pd
2.068 0.000 10.371 Pd
2.068 0.000 14.477 Pd
2.068 2.068 0.000 Pd
2.068 2.068 4.157 Pd
2.068 2.068 8.285 Pd
2.068 2.068 12.412 Pd
```